# 1
# Zr2HgAu

An optimized crystal structure of Zr2HgAu (PBE-GGA, Alexandria via LeMat-Bulk).

## Properties
For the formation energy, the calculation gives 0.429 eV per atom. Its volume is 92.81 Å³/f.u.

abc: 6.767 6.767 6.767
angles: 53.36 155.57 133.34
Atoms (fractional coordinates):
Zr (0.000, 0.761, 0.761)
Zr (0.000, 0.239, 0.239)
Hg (0.000, 0.500, 0.500)
Au (0.000, 0.000, 0.000)


# 2
# LaSiCl

An optimized crystal structure of LaSiCl (PBE-GGA, Alexandria via LeMat-Bulk).

## Properties
Its volume is 82.89 Å³/f.u. As for the formation energy (no corrections): -1.492 eV per atom.

abc: 4.152 4.150 11.366
angles: 79.48 79.48 59.99
Atoms (fractional coordinates):
Si (0.165, 0.163, 0.508)
La (0.438, 0.438, 0.687)
Cl (0.281, 0.281, 0.157)
La (0.562, 0.562, 0.313)
Si (0.835, 0.837, 0.492)
Cl (0.719, 0.719, 0.843)


# 3
# MgPaSnO6

An optimized crystal structure of MgPaSnO6 (PBE-GGA, Alexandria via LeMat-Bulk).

## Properties
Its volume is 119.67 Å³/f.u. As for the formation energy (no corrections): -2.406 eV per atom.

abc: 4.915 4.915 9.907
angles: 90.00 90.00 90.00
Atoms (fractional coordinates):
O (0.200, 0.800, 0.831)
O (0.303, 0.303, 0.672)
Mg (0.500, 0.500, 0.167)
O (0.697, 0.697, 0.672)
O (0.311, 0.311, 0.998)
O (0.300, 0.300, 0.331)
Pa (0.500, 0.500, 0.499)
O (0.803, 0.197, 0.172)
O (0.689, 0.689, 0.998)
O (0.189, 0.811, 0.498)
Mg (0.000, 0.000, 0.667)
O (0.197, 0.803, 0.172)
O (0.811, 0.189, 0.498)
Sn (0.000, 0.000, 0.333)
Pa (0.000, 0.000, 0.999)
O (0.700, 0.700, 0.331)
O (0.800, 0.200, 0.831)
Sn (0.500, 0.500, 0.833)


# 4
# Th2MgPa

An optimized crystal structure of Th2MgPa (PBE-GGA, Alexandria via LeMat-Bulk).

## Properties
For the formation energy, the calculation gives 0.124 eV per atom. Its relative energy among the computed polymorphs is 0 meV/atom. Its volume is 114.16 Å³/f.u.

abc: 3.324 3.324 10.333
angles: 90.00 90.00 90.00
Atoms (fractional coordinates):
Th (0.000, 0.000, 0.748)
Th (0.000, 0.000, 0.252)
Pa (0.500, 0.500, 0.500)
Mg (0.500, 0.500, 0.000)


# 5
# Be2SiGe

An optimized crystal structure of Be2SiGe (PBE-GGA, Alexandria via LeMat-Bulk).

## Properties
Its relative energy among the computed polymorphs is 0 meV/atom. Its volume is 56.21 Å³/f.u. As for the formation energy (no corrections): 0.295 eV per atom.

abc: 3.977 3.977 7.646
angles: 74.93 74.93 90.00
Atoms (fractional coordinates):
Be (0.154, 0.625, 0.250)
Si (0.500, 0.500, 0.000)
Be (0.596, 0.125, 0.250)
Si (0.250, 0.750, 0.500)
Ge (0.000, 0.000, 0.000)
Ge (0.750, 0.250, 0.500)
Be (0.375, 0.404, 0.750)
Be (0.875, 0.846, 0.750)


# 6
# Li4Zr3RhS8

An optimized crystal structure of Li4Zr3RhS8 (PBE-GGA, Alexandria via LeMat-Bulk).

## Properties
Its volume is 280.17 Å³/f.u. As for the formation energy (no corrections): -1.311 eV per atom.

abc: 7.216 7.480 7.217
angles: 118.85 120.00 90.00
Site moments in Bohr magnetons follow the coordinates.
Atoms (fractional coordinates):
Li (0.000, 0.000, 0.500)  0.00
Zr (0.500, 0.500, 0.500)  0.04
S (0.244, 0.744, 0.000)  0.02
Zr (0.000, 0.500, 0.500)  0.04
Li (0.500, 0.000, 0.500)  0.00
S (0.757, 0.744, 0.000)  0.02
S (0.756, 0.256, 0.000)  0.02
S (0.244, 0.744, 0.487)  0.02
Zr (0.500, 0.500, 0.000)  0.04
Li (0.500, 0.000, 0.000)  0.02
Li (0.000, 0.000, 0.000)  0.00
Rh (0.000, 0.500, 0.000)  0.62
S (0.250, 0.250, 0.500)  0.00
S (0.756, 0.256, 0.513)  0.02
S (0.750, 0.750, 0.500)  0.00
S (0.243, 0.256, 0.000)  0.02


The calculation returns the following D(E_F) values, one per record and in order: 1.04 0.20 0.90 1.53 0.06 0.47 states/eV/atom.
The calculation returns the following uncorrected energy values, one per record and in order: -18.961 -33.344 -132.993 -25.434 -32.623 -94.645 eV/cell.